Record 1
The following is a meta-GGA SCAN calculation of a crystal of Li2AgC2 relaxed with PBEsol, from Alexandria via LeMat-Bulk.

abc: 5.6106 5.6106 3.3240
angles: 90.00 90.00 90.00
Space group P4/mbm (No. 127)
Symmetry-distinct sites (fractional):
Li (0.1837, 0.3163, 0.0000) x4
Ag (0.0000, 0.0000, 0.5000) x2
C (0.0822, 0.5822, 0.5000) x4

## Properties
**Calculated formation energy**: 238 meV per atom
**Calculated density**: 4.63 g/cm3
**Final energy**: -11.031 eV/atom


Record 2
The following is a meta-GGA SCAN calculation of a crystal of MoPt2W relaxed with PBEsol, from Alexandria via LeMat-Bulk.

abc: 2.7082 4.0884 5.4075
angles: 90.00 90.00 90.00
Space group Pmmm (No. 47)
Symmetry-distinct sites (fractional):
Mo (0.0000, 0.0000, 0.0000) x1
Pt (0.5000, 0.5000, 0.2494) x2
W (0.0000, 0.0000, 0.5000) x1

## Properties
**Calculated formation energy**: -307 meV per atom
**Energy relative to the lowest polymorph listed for this composition**: 1.833 kcal/mol of atoms
**Calculated density**: 18.58 g/cm3
**Final energy**: -61.547 eV/atom


Record 3
The following is a meta-GGA SCAN calculation of a crystal of CeHoZn2 relaxed with PBEsol, from Alexandria via LeMat-Bulk.

abc: 7.0417 7.0417 7.0417
angles: 90.00 90.00 90.00
Space group Fm-3m (No. 225)
Symmetry-distinct sites (fractional):
Ce (0.0000, 0.0000, 0.0000) x4
Ho (0.0000, 0.0000, 0.5000) x4
Zn (0.2500, 0.2500, 0.2500) x8

## Properties
**Calculated formation energy**: -320 meV per atom
**Calculated density**: 8.29 g/cm3
**Final energy**: -30.466 eV/atom


Record 4
The following is a meta-GGA SCAN calculation of a crystal of HfScTaAl2 relaxed with PBEsol, from Alexandria via LeMat-Bulk.

abc: 4.9067 4.9067 4.6086
angles: 90.00 90.00 90.00
Space group P4/mmm (No. 123)
Symmetry-distinct sites (fractional):
Hf (0.0000, 0.0000, 0.0000) x1
Sc (0.0000, 0.0000, 0.5000) x1
Ta (0.5000, 0.5000, 0.5000) x1
Al (0.0000, 0.5000, 0.0000) x2

## Properties
**Calculated formation energy**: 1481 meV per atom
**Calculated density**: 6.86 g/cm3
**Final energy**: -30.319 eV/atom


Record 5
The following is a meta-GGA SCAN calculation of a crystal of SbW3 relaxed with PBEsol, from Alexandria via LeMat-Bulk.

abc: 4.0561 4.0561 4.0561
angles: 90.00 90.00 90.00
Space group Pm-3m (No. 221)
Symmetry-distinct sites (fractional):
Sb (0.0000, 0.0000, 0.0000) x1
W (0.0000, 0.5000, 0.5000) x3

## Properties
**Formation energy without anion corrections**: 810 meV per atom
**Calculated density**: 16.75 g/cm3
**Final energy**: -60.771 eV/atom


Record 6
The following is a meta-GGA SCAN calculation of a crystal of KTlCd2 relaxed with PBEsol, from Alexandria via LeMat-Bulk.

abc: 7.5442 7.5442 7.5442
angles: 90.00 90.00 90.00
Space group Fm-3m (No. 225)
Symmetry-distinct sites (fractional):
K (0.0000, 0.0000, 0.0000) x4
Tl (0.0000, 0.0000, 0.5000) x4
Cd (0.2500, 0.2500, 0.2500) x8

## Properties
**Calculated formation energy**: -17 meV per atom
**Energy relative to the lowest polymorph listed for this composition**: 1.015 kcal/mol of atoms
**Calculated density**: 7.24 g/cm3
**Final energy**: -35.396 eV/atom


Record 7
The following is a meta-GGA SCAN calculation of a crystal of LaTaTl relaxed with PBEsol, from Alexandria via LeMat-Bulk.

abc: 4.3744 4.3834 14.8042
angles: 90.00 90.00 90.00
Space group Fmm2 (No. 42)
Symmetry-distinct sites (fractional):
La (0.0000, 0.0000, 0.0000) x4
Ta (0.0000, 0.0000, 0.3349) x4
Tl (0.0000, 0.0000, 0.6854) x4

## Properties
**Calculated formation energy**: 299 meV per atom
**Calculated density**: 12.27 g/cm3
**Final energy**: -60.383 eV/atom


Record 8
The following is a meta-GGA SCAN calculation of a crystal of ZrIrOs2Ru relaxed with PBEsol, from Alexandria via LeMat-Bulk.

abc: 4.6718 4.6718 4.6642
angles: 90.00 90.00 90.00
Space group P4/mmm (No. 123)
Symmetry-distinct sites (fractional):
Zr (0.0000, 0.0000, 0.0000) x1
Ir (0.0000, 0.0000, 0.5000) x1
Os (0.0000, 0.5000, 0.0000) x2
Ru (0.5000, 0.5000, 0.5000) x1

## Properties
**Calculated formation energy**: 2627 meV per atom
**Calculated density**: 12.48 g/cm3
**Final energy**: -53.450 eV/atom


Record 9
The following is a meta-GGA SCAN calculation of a crystal of RbSb2TeMo relaxed with PBEsol, from Alexandria via LeMat-Bulk.

abc: 5.2204 5.2204 5.6126
angles: 90.00 90.00 90.00
Space group P4/mmm (No. 123)
Symmetry-distinct sites (fractional):
Rb (0.0000, 0.0000, 0.0000) x1
Sb (0.0000, 0.5000, 0.5000) x2
Te (0.5000, 0.5000, 0.0000) x1
Mo (0.5000, 0.5000, 0.5000) x1

## Properties
**Formation energy without anion corrections**: 90 meV per atom
**Energy relative to the lowest polymorph listed for this composition**: 0.000 kcal/mol of atoms
**Calculated density**: 6.00 g/cm3
**Final energy**: -33.389 eV/atom


Record 10
The following is a meta-GGA SCAN calculation of a crystal of MgCoSe relaxed with PBEsol, from Alexandria via LeMat-Bulk.

abc: 5.7121 5.7121 5.7121
angles: 90.00 90.00 90.00
Space group F-43m (No. 216)
Symmetry-distinct sites (fractional):
Mg (0.0000, 0.0000, 0.0000) x4
Co (0.2500, 0.2500, 0.2500) x4
Se (0.0000, 0.0000, 0.5000) x4

## Properties
**Formation energy without anion corrections**: -108 meV per atom
**Energy relative to the lowest polymorph listed for this composition**: 2.631 kcal/mol of atoms
**Calculated density**: 5.78 g/cm3
**Final energy**: -14.227 eV/atom


Record 11
The following is a meta-GGA SCAN calculation of a crystal of YSc2Rh relaxed with PBEsol, from Alexandria via LeMat-Bulk.

abc: 3.3782 3.3782 27.6459
angles: 90.00 90.00 120.00
Space group R-3m (No. 166, hexagonal axes)
Symmetry-distinct sites (fractional):
Y (0.0000, 0.0000, 0.0000) x3
Sc (0.0000, 0.0000, 0.2291) x6
Rh (0.0000, 0.0000, 0.5000) x3

## Properties
**Calculated formation energy**: -308 meV per atom
**Energy relative to the lowest polymorph listed for this composition**: 5.834 kcal/mol of atoms
**Calculated density**: 5.14 g/cm3
**Final energy**: -22.830 eV/atom


Record 12
The following is a meta-GGA SCAN calculation of a crystal of Sc2In relaxed with PBEsol, from Alexandria via LeMat-Bulk.

abc: 3.2905 4.2259 9.5509
angles: 90.00 90.00 90.00
Space group Immm (No. 71)
Symmetry-distinct sites (fractional):
Sc (0.0000, 0.0000, 0.1616) x4
In (0.0000, 0.0000, 0.5000) x2

## Properties
**Calculated formation energy**: -399 meV per atom
**Calculated density**: 5.12 g/cm3
**Final energy**: -21.020 eV/atom